First-principles (GGA-PBE) data for an optimized crystal structure of InCo4Br, as listed in the Alexandria database.

The structure in POSCAR format:
```
InCo4Br
1.0
0.000 3.566 3.566
3.566 0.000 3.566
3.566 3.566 0.000
In Co Br
1 4 1
Direct
0.000 0.000 0.000
0.375 0.375 0.375
0.375 0.375 0.875
0.375 0.875 0.375
0.875 0.375 0.375
0.750 0.750 0.750
```

Results
Calculated density in g/cm³: 7.88
Total moment in μB/cell: 7.741
Formation energy from raw total energies in eV/atom: 0.553
DFT total energy in eV/atom: -4.919
DOS at the Fermi energy in states/eV/atom: 1.3527